Below is crystalline Cs2K3Na2 at its relaxed geometry, with properties calculated at the PBE level.

Calculated values
The uncorrected energy is -1.08 eV/atom. The energy relative to the elements is 0.015 eV per atom. As for the space-group type: C2/m, No. 12. As for the distance to the lowest polymorph of the same formula: 0.00 eV per formula unit. The calculation puts the total magnetization at 0.00 Bohr magnetons per cell.

Cell lengths 8.497, 8.497, 10.662 Å; angles 98.60, 98.60, 42.25 degrees
Positions (direct):
1 Cs 0.130 0.130 0.357
2 Cs 0.870 0.870 0.643
3 K 0.187 0.187 0.864
4 K 0.500 0.500 0.000
5 K 0.813 0.813 0.136
6 Na 0.421 0.421 0.357
7 Na 0.579 0.579 0.643